## DyMgSnRh (PBE)

Data for a relaxed structure of DyMgSnRh. Values from VASP.

Computed properties:
Formation energy from the elements, eV per atom: -0.561
Energy, eV/atom: -4.95
V, Å³/f.u.: 78.6
Magnetic moment, μB/cell: 0.00

Quantum ESPRESSO input file:
```
&SYSTEM
  ibrav = 0, nat = 4, ntyp = 4
/
ATOMIC_SPECIES
Dy 162.50 Dy.upf
Mg 24.30 Mg.upf
Sn 118.71 Sn.upf
Rh 102.91 Rh.upf
CELL_PARAMETERS angstrom
0.0000 3.4002 3.4002
3.4002 0.0000 3.4002
3.4002 3.4002 0.0000
ATOMIC_POSITIONS crystal
Dy 0.0000 0.0000 0.0000
Mg 0.2500 0.2500 0.2500
Sn 0.5000 0.5000 0.5000
Rh 0.7500 0.7500 0.7500
```